[1]
Crystalline Pd2N2Cl3 at its relaxed geometry, computed with GGA-PBE.

## Properties
E_form (uncorrected) in meV per atom: -142
Calculated volume in Å³ per atom: 27.53
Mass density in g/cm³: 2.991

Unit cell a=3.4721 b=6.5469 c=10.7604 alpha=76.26 beta=68.18 gamma=58.21
With the nearest neighbours (Å) after each atom.
Positions (direct):
Pd: 0.8454 0.2825 0.8908  4 Cl 2.31-2.55
Pd: 0.1546 0.7175 0.1092  4 Cl 2.31-2.55
N: 0.4885 0.0390 0.4487  1 N 1.11
N: 0.5115 0.9610 0.5513  1 N 1.11
Cl: 0.5000 0.0000 0.0000  4 Pd 2.55
Cl: 0.7242 0.5187 0.2202  2 Pd 2.31
Cl: 0.2758 0.4813 0.7798  2 Pd 2.31

---

[2]
Crystalline Er5MgCd3 at its relaxed geometry, computed with GGA-PBE.

## Properties
ΔE_f in eV/atom: -0.180
Calculated volume in Å³ per atom: 26.60
Mass density in g/cm³: 8.307

Unit cell a=6.6300 b=9.1323 c=9.1323 alpha=120.00 beta=90.00 gamma=90.00
With the nearest neighbours (Å) after each atom.
Positions (direct):
Er: 0.0000 0.6667 0.3333  8 Er 3.32-3.54, 6 Cd 3.40
Er: 0.5000 0.3333 0.6667  8 Er 3.32-3.54, 6 Cd 3.40
Er: 0.0000 0.3333 0.6667  8 Er 3.32-3.54, 6 Cd 3.40
Er: 0.5000 0.6667 0.3333  8 Er 3.32-3.54, 6 Cd 3.40
Er: 0.7500 0.6851 0.6851  5 Cd 3.05-3.33, 2 Mg 3.32
Er: 0.7500 0.0000 0.3149  5 Cd 3.05-3.33, 2 Mg 3.32
Er: 0.7500 0.3149 0.0000  5 Cd 3.05-3.33, 2 Mg 3.32
Er: 0.2500 0.3149 0.3149  5 Cd 3.05-3.33, 2 Mg 3.32
Er: 0.2500 0.0000 0.6851  5 Cd 3.05-3.33, 2 Mg 3.32
Er: 0.2500 0.6851 0.0000  5 Cd 3.05-3.33, 2 Mg 3.32
Mg: 0.0000 0.0000 0.0000  2 Mg 3.32, 6 Er 3.32, 6 Cd 3.61
Mg: 0.5000 0.0000 0.0000  2 Mg 3.32, 6 Er 3.32, 6 Cd 3.61
Cd: 0.7500 0.3510 0.3510  9 Er 3.05-3.40
Cd: 0.7500 0.0000 0.6490  9 Er 3.05-3.40
Cd: 0.7500 0.6490 0.0000  9 Er 3.05-3.40
Cd: 0.2500 0.6490 0.6490  9 Er 3.05-3.40
Cd: 0.2500 0.0000 0.3510  9 Er 3.05-3.40
Cd: 0.2500 0.3510 0.0000  9 Er 3.05-3.40